VASP calculation (PBE) on an optimized crystal structure of TbNd3Sm.

Geometry as CIF:
```
data_TbNd3Sm
_space_group_name_H-M_alt 'P m m n'
_space_group_IT_number 59
_cell_length_a 5.480
_cell_length_b 7.655
_cell_length_c 8.279
_cell_angle_alpha 90.00
_cell_angle_beta 90.00
_cell_angle_gamma 90.00
loop_
_space_group_symop_operation_xyz
'x,y,z'
'-x,-y,-z'
'-x+1/2,-y+1/2,z'
'x+1/2,y+1/2,-z'
'x+1/2,-y,-z'
'-x+1/2,y,z'
'-x,y+1/2,-z'
'x,-y+1/2,z'
loop_
_atom_site_label
_atom_site_fract_x
_atom_site_fract_y
_atom_site_fract_z
Tb1 0.250 0.250 0.234
Nd1 0.250 0.042 0.755
Nd2 0.250 0.750 0.456
Sm1 0.250 0.750 0.055
```

Output
- energy of formation from the pure elements (eV per atom) = 0.18
- ΔE to the lowest computed polymorph (meV/atom) = 151
- E (eV per atom) = -4.55

***

VASP calculation (PBE) on an optimized crystal structure of AlAs2Au.

Geometry as CIF:
```
data_AlAs2Au
_space_group_name_H-M_alt 'C m m m'
_space_group_IT_number 65
_space_group_name_Hall '-C 2 2'
_cell_length_a 3.971
_cell_length_b 5.016
_cell_length_c 7.535
_cell_angle_alpha 90.00
_cell_angle_beta 90.00
_cell_angle_gamma 90.00
loop_
_atom_site_label
_atom_site_fract_x
_atom_site_fract_y
_atom_site_fract_z
Al1 0.000 0.000 0.000
As1 0.000 0.500 0.237
Au1 0.000 0.000 0.500
```

Output
- energy of formation from the pure elements (eV per atom) = 0.23
- E (eV per atom) = -3.85